No. 1
Material: TiTeIrN2
Method: DFT, SCAN
State: single point on PBEsol structure

Formation energy from raw total energies: 59.0 kJ/mol of atoms
DOS at the Fermi energy: 0.642 states/eV per atom

abc: 3.7857 3.7857 5.5791
angles: 90.00 90.00 90.00
With the nearest neighbours (Å) after each atom.
Space group P4/mmm (No. 123)
Inequivalent atoms, fractional coordinates:
Ti 0.0000 0.0000 0.0000 x1  4 N 1.89
Te 0.5000 0.5000 0.5000 x1  4 Ir 2.68
Ir 0.0000 0.0000 0.5000 x1  4 Te 2.68, 2 Ti 2.79
N 0.0000 0.5000 0.0000 x2  2 Ti 1.89

No. 2
Material: AlFeI2O
Method: DFT, SCAN
State: single point on PBEsol structure

Formation energy from raw total energies: -28.5 kJ/mol of atoms
DOS at the Fermi energy: 0.475 states/eV per atom

abc: 5.5092 5.5092 3.6186
angles: 90.00 90.00 90.00
With the nearest neighbours (Å) after each atom.
Space group P4/mmm (No. 123)
Inequivalent atoms, fractional coordinates:
Al 0.0000 0.0000 0.0000 x1  8 I 3.30, 2 Al 3.62
Fe 0.5000 0.5000 0.5000 x1  2 O 1.81
I 0.0000 0.5000 0.5000 x2  2 Fe 2.75
O 0.5000 0.5000 0.0000 x1  2 Fe 1.81

No. 3
Material: Tl5Cd
Method: DFT, SCAN
State: single point on PBEsol structure

Offset from the most stable computed form: 4 meV per atom
DOS at the Fermi energy: 0.517 states/eV per atom
Formation enthalpy at 0 K: 22 kJ/mol of formula units

abc: 3.3511 3.3511 14.3569
angles: 90.00 90.00 90.00
With the nearest neighbours (Å) after each atom.
Space group P4/mmm (No. 123)
Inequivalent atoms, fractional coordinates:
Tl 0.0000 0.0000 0.0000 x1  12 Tl 3.35-3.45
Tl 0.0000 0.0000 0.3483 x2  4 Cd 3.22, 8 Tl 3.35-3.44
Tl 0.5000 0.5000 0.1744 x2  12 Tl 3.35-3.45
Cd 0.5000 0.5000 0.5000 x1  8 Tl 3.22, 4 Cd 3.35